Material: HoFeSb
Method: DFT, PBE
State: optimized geometry

Values from the calculation:
- VASP energy: -37.31 eV/cell
- E_form (uncorrected): -0.498 eV per atom

POSCAR file:
```
HoFeSb
1.0
4.289 0.000 0.000
0.000 4.289 0.000
0.000 0.000 6.727
Ho Sb Fe
2 2 2
Direct
0.000 0.500 0.793
0.500 0.000 0.207
0.000 0.500 0.281
0.500 0.000 0.719
0.500 0.500 0.500
0.000 0.000 0.500
```

Material: Ho12Fe6Sb
Method: DFT, PBE
State: optimized geometry

Values from the calculation:
- VASP energy: -112.67 eV/cell
- E_form (uncorrected): -0.149 eV per atom

POSCAR file:
```
Ho12Fe6Sb
1.0
7.888 0.000 -2.789
-3.944 6.831 -2.789
0.000 0.000 8.367
Ho Fe Sb
12 6 1
Direct
0.300 0.103 0.803
0.300 0.497 0.197
0.700 0.503 0.803
0.700 0.897 0.197
0.103 0.803 0.300
0.497 0.197 0.300
0.503 0.803 0.700
0.897 0.197 0.700
0.803 0.300 0.103
0.197 0.300 0.497
0.803 0.700 0.503
0.197 0.700 0.897
0.391 0.500 0.891
0.609 0.500 0.109
0.500 0.891 0.391
0.500 0.109 0.609
0.891 0.391 0.500
0.109 0.609 0.500
0.000 0.000 0.000
```

Material: HoSc3Fe
Method: DFT, PBE
State: optimized geometry

Values from the calculation:
- VASP energy: -31.98 eV/cell
- E_form: 0.011 eV/atom

POSCAR file:
```
HoSc3Fe
1.0
-0.785 -2.069 -4.393
1.579 -4.317 1.751
-4.592 -1.131 1.353
Sc Ho Fe
3 1 1
Direct
0.000 0.500 0.000
0.000 0.000 0.500
0.500 0.000 0.000
0.500 0.500 0.500
0.000 0.000 0.000
```

Material: HoSc2Fe
Method: DFT, PBE
State: optimized geometry

Values from the calculation:
- VASP energy: -25.12 eV/cell
- ΔE to the lowest computed polymorph: 208 meV per atom
- E_form: 0.147 eV/atom

POSCAR file:
```
HoSc2Fe
1.0
-0.028 -3.231 -0.739
2.157 -1.214 -2.204
6.857 -3.117 5.937
Sc Ho Fe
2 1 1
Direct
0.271 0.271 0.187
0.729 0.729 0.813
0.500 0.500 0.500
0.000 0.000 0.000
```